A plane-wave DFT calculation with PBE with a Hubbard U was carried out for an optimized crystal structure of CoAgHg2F6.

a = 5.7226 Å, b = 5.0006 Å, c = 10.9593 Å
α = 90.00°, β = 96.21°, γ = 90.00°
Space group P2_1/c (No. 14)
One atom of each set of equivalent atoms:
Co 0.0000 0.0000 0.0000 (multiplicity 2)
Ag 0.5000 0.0000 0.5000 (multiplicity 2)
Hg 0.3452 0.0354 0.7452 (multiplicity 4)
F 0.0345 0.1521 0.1585 (multiplicity 4)
F 0.1524 0.6966 0.0641 (multiplicity 4)
F 0.2876 0.1279 0.9582 (multiplicity 4)

Output
V: 15.59 Å³/atom
DFT total energy: -3.305 eV per atom